{"formula": "RbCu2Te2", "functional": "PBE", "state": "relaxed", "cell": [[4.086, 0.000, 0.000], [0.000, 4.086, 0.000], [0.000, 0.000, 8.350]], "species": ["Rb", "Cu", "Cu", "Te", "Te"], "fractional_positions": [[0.000, 0.000, 0.000], [0.000, 0.500, 0.500], [0.500, 0.000, 0.500], [0.500, 0.500, 0.289], [0.500, 0.500, 0.711]], "formation_energy_uncorrected_ev_per_atom": -0.2684, "volume_a3_per_fu": 139, "e_tot_ev_per_atom": -3.357, "spacegroup": "No. 123", "dos_ef_per_ev_fu": 3.1}